Density functional theory data (GGA-PBEsol) for a geometry-optimized ZrAg2Hg structure.

Calculated values
* spin magnetization: 0.000 μB/f.u.
* raw total energy: -4.15 eV/atom
* space group: Pmm2, No. 25

```
ZrAg2Hg
1.0
3.1156 0.0000 0.0000
0.0000 3.5116 0.0000
0.0000 0.0000 6.8409
Zr Ag Hg
1 2 1
direct
0.0000 0.0000 0.0000
0.0000 0.0000 0.4814
0.5000 0.5000 0.2563
0.5000 0.5000 0.7275
```